Record 1
Density functional theory data (PBE-GGA) for an optimized crystal structure of Y8SbTe4As3.

Results
raw formation energy: -1.4498 eV per atom

Cell lengths 8.633, 8.633, 8.633 Å; angles 59.05, 59.05, 59.05 degrees
Atoms (fractional coordinates):
1 Y 0.229 0.747 0.747
2 Y 0.239 0.239 0.239
3 Y 0.253 0.253 0.771
4 Y 0.253 0.771 0.253
5 Y 0.747 0.229 0.747
6 Y 0.747 0.747 0.229
7 Y 0.761 0.761 0.761
8 Y 0.771 0.253 0.253
9 Sb 0.500 0.500 0.500
10 Te 0.000 0.000 0.000
11 Te 0.000 0.500 0.500
12 Te 0.500 0.000 0.500
13 Te 0.500 0.500 0.000
14 As 0.000 0.000 0.500
15 As 0.000 0.500 0.000
16 As 0.500 0.000 0.000

---

Record 2
Density functional theory data (PBE-GGA) for an optimized crystal structure of Y2Tm8Th.

Results
ΔE_f: 31.2 meV per atom

Cell lengths 9.306, 9.306, 7.867 Å; angles 104.72, 104.72, 31.02 degrees
Atoms (fractional coordinates):
1 Y 0.228 0.228 0.137
2 Y 0.772 0.772 0.863
3 Tm 0.044 0.044 0.231
4 Tm 0.135 0.135 0.678
5 Tm 0.320 0.320 0.593
6 Tm 0.410 0.410 0.047
7 Tm 0.590 0.590 0.953
8 Tm 0.680 0.680 0.407
9 Tm 0.865 0.865 0.322
10 Tm 0.956 0.956 0.769
11 Th 0.500 0.500 0.500